A relaxed structure of KBaI2, computed with PBE.

Properties
The value obtained for the uncorrected formation energy is -116.6 kJ per mole of atoms. Its space group is Fm-3m.

```
KBaI2
1.0
3.451 -5.031 0.522
-0.255 -3.372 5.105
-2.618 -5.534 -0.114
I Ba K
2 1 1
Cartesian
0.144 -3.484 1.378
0.433 -10.453 4.134
0.289 -6.969 2.756
0.000 0.000 0.000
```